# 1
AcSm2Bi PBE relaxed; uncorrected energy = -4.617 eV/atom; ΔH_f (0 K) = -0.26 eV per atom; D(E_F) = 3.5 states/eV per cell; space group = R3m; total moment = 0.0373 μB/atom
1.0
-0.322 -3.590 2.158
2.882 -0.975 2.898
-4.579 3.161 8.663
Bi Sm Ac
1 2 1
Direct
0.666 0.666 0.001
0.066 0.066 0.801
0.267 0.267 0.200
0.500 0.500 0.499

# 2
PuZnFe2 PBE relaxed; uncorrected energy = -8.018 eV/atom; ΔH_f (0 K) = 0.12 eV per atom; D(E_F) = 5.5 states/eV per cell; space group = P4/mmm; total moment = 0.2259 μB/atom
1.0
3.166 0.000 0.000
0.000 3.166 0.000
0.000 0.000 6.145
Fe Pu Zn
2 1 1
Direct
0.000 0.000 0.792
0.000 0.000 0.208
0.500 0.500 0.500
0.500 0.500 0.000

# 3
Sm2Dy2Ho4Er PBE relaxed; uncorrected energy = -4.608 eV/atom; ΔH_f (0 K) = 0.01 eV per atom; D(E_F) = 11.8 states/eV per cell; space group = C2/m; total moment = 0.0000 μB/atom
1.0
3.580 0.000 0.000
-1.790 9.283 -0.473
0.000 -3.696 8.770
Sm Er Ho Dy
2 1 4 2
Direct
0.852 0.704 0.335
0.148 0.296 0.665
0.000 0.000 0.000
0.481 0.963 0.669
0.185 0.369 0.333
0.519 0.037 0.331
0.815 0.631 0.667
0.666 0.332 0.001
0.334 0.668 0.999

# 4
KCd4SbAs2 PBE relaxed; E_form (uncorrected) = -0.1994 eV per atom; uncorrected energy = -2.472 eV/atom; D(E_F) = 1.4 states/eV per cell; space group = P4/mmm; total moment = 0.0000 μB/atom
1.0
4.587 0.000 0.000
0.000 4.587 0.000
0.000 0.000 10.850
Sb Cd K As
1 4 1 2
Direct
0.000 0.000 0.000
0.500 0.000 0.818
0.000 0.500 0.182
0.500 0.000 0.182
0.000 0.500 0.818
0.000 0.000 0.500
0.500 0.500 0.324
0.500 0.500 0.676

# 5
Pm2DyY5Ho PBE relaxed; uncorrected energy = -5.405 eV/atom; ΔH_f (0 K) = 0.26 eV per atom; D(E_F) = 23.7 states/eV per cell; space group = I4/mcm; total moment = 0.0000 μB/atom
1.0
-4.890 0.321 -7.136
-1.639 -8.467 0.742
-3.031 5.676 7.583
Y Pm Dy Ho
10 4 2 2
Direct
0.651 0.151 0.722
0.071 0.571 0.722
0.429 0.349 0.278
0.929 0.429 0.278
0.849 0.929 0.278
0.571 0.651 0.722
0.000 0.000 0.000
0.500 0.500 0.000
0.151 0.071 0.722
0.349 0.849 0.278
0.383 0.883 0.000
0.617 0.117 0.000
0.117 0.383 0.000
0.883 0.617 0.000
0.750 0.750 0.500
0.250 0.250 0.500
0.750 0.250 0.500
0.250 0.750 0.500

# 6
AcIn2Si2Pt7 PBE relaxed; E_form (uncorrected) = -0.5812 eV per atom; uncorrected energy = -5.808 eV/atom; D(E_F) = 3.1 states/eV per cell; space group = C2/m; total moment = 0.0000 μB/atom
1.0
4.074 -0.013 0.081
-0.008 4.074 0.081
2.311 2.308 14.347
Pt Ac In Si
7 1 2 2
Direct
0.388 0.887 0.171
0.500 0.500 0.000
0.801 0.801 0.579
0.113 0.612 0.829
0.612 0.113 0.829
0.199 0.199 0.421
0.887 0.388 0.171
0.000 0.000 0.000
0.294 0.294 0.602
0.706 0.706 0.398
0.670 0.670 0.740
0.330 0.330 0.260

Repeat the fifth record exactly.
Pm2DyY5Ho PBE relaxed; uncorrected energy = -5.405 eV/atom; ΔH_f (0 K) = 0.26 eV per atom; D(E_F) = 23.7 states/eV per cell; space group = I4/mcm; total moment = 0.0000 μB/atom
1.0
-4.890 0.321 -7.136
-1.639 -8.467 0.742
-3.031 5.676 7.583
Y Pm Dy Ho
10 4 2 2
Direct
0.651 0.151 0.722
0.071 0.571 0.722
0.429 0.349 0.278
0.929 0.429 0.278
0.849 0.929 0.278
0.571 0.651 0.722
0.000 0.000 0.000
0.500 0.500 0.000
0.151 0.071 0.722
0.349 0.849 0.278
0.383 0.883 0.000
0.617 0.117 0.000
0.117 0.383 0.000
0.883 0.617 0.000
0.750 0.750 0.500
0.250 0.250 0.500
0.750 0.250 0.500
0.250 0.750 0.500

Question: Among the records above, which one has the highest total moment?
Answer: PuZnFe2